## TaTl4Cd (PBE-GGA)

Data for a relaxed TaTl4Cd crystal.

Results
- ρ (g/cm3) = 11.1
- energy of formation (eV/atom) = 0.897
- final energy (eV per formula unit) = -16.85

a b c (Å): 8.7399 8.7399 8.7399
angles (deg): 90.00 90.00 90.00
Last column: nearest neighbours and their distance in Å.
Space group F-43m (No. 216)
Inequivalent atoms, fractional coordinates:
1 Ta 0.0000 0.0000 0.0000 [4 per cell]  12 Tl 3.62, 4 Cd 3.78
2 Tl 0.1252 0.1252 0.6252 [16 per cell]  6 Tl 3.08-3.10
3 Cd 0.2500 0.2500 0.2500 [4 per cell]  12 Tl 3.62, 4 Ta 3.78